Computed, not measured: a geometry-optimized Pa2MoPb structure at the PBE level of DFT.

Lattice parameters (Å, degrees): 5.153 5.153 5.153 60.00 60.00 60.00
Sites, in units of the cell vectors:
Pb1 0.000 0.000 0.000
Mo1 0.500 0.500 0.500
Pa1 0.250 0.250 0.250
Pa2 0.750 0.750 0.750

Computed properties:
* ΔE to the lowest computed polymorph: 0.3684 eV/atom
* N(E_F): 7.407 states/eV/f.u.
* ΔE_f: 0.403 eV/atom

=====

Computed, not measured: a geometry-optimized Pa2MoPb structure at the PBE level of DFT.

Lattice parameters (Å, degrees): 3.958 3.958 8.309 76.22 76.22 60.00
Sites, in units of the cell vectors:
Pb1 0.500 0.500 0.500
Mo1 0.000 0.000 0.000
Pa1 0.269 0.269 0.193
Pa2 0.731 0.731 0.807

Computed properties:
* ΔE to the lowest computed polymorph: 0.2979 eV/atom
* N(E_F): 5.719 states/eV/f.u.
* ΔE_f: 0.333 eV/atom

=====

Computed, not measured: a geometry-optimized ScPaMoPd structure at the PBE level of DFT.

Lattice parameters (Å, degrees): 4.809 4.809 4.809 60.00 60.00 60.00
Sites, in units of the cell vectors:
Sc1 0.000 0.000 0.000
Mo1 0.250 0.250 0.250
Pa1 0.500 0.500 0.500
Pd1 0.750 0.750 0.750

Computed properties:
* N(E_F): 2.661 states/eV/f.u.
* ΔE_f: -0.278 eV/atom

=====

Computed, not measured: a geometry-optimized PaSi2MoPd structure at the PBE level of DFT.

Lattice parameters (Å, degrees): 4.165 4.165 5.844 110.88 110.88 90.00
Sites, in units of the cell vectors:
Pa1 0.000 0.000 0.000
Si1 0.619 0.619 0.237
Si2 0.381 0.381 0.763
Mo1 0.750 0.250 0.500
Pd1 0.250 0.750 0.500

Computed properties:
* N(E_F): 5.455 states/eV/f.u.
* formation energy without anion corrections: -2.742 eV/f.u.

=====

Computed, not measured: a geometry-optimized PaTiMoPd structure at the PBE level of DFT.

Lattice parameters (Å, degrees): 4.710 4.710 4.710 60.00 60.00 60.00
Sites, in units of the cell vectors:
Mo1 0.500 0.500 0.500
Pa1 0.750 0.750 0.750
Pd1 0.000 0.000 0.000
Ti1 0.250 0.250 0.250

Computed properties:
* N(E_F): 3.502 states/eV/f.u.
* ΔE_f: -0.215 eV/atom

=====

Computed, not measured: a geometry-optimized PmPa2Mo structure at the PBE level of DFT.

Lattice parameters (Å, degrees): 3.223 3.223 11.158 81.70 81.70 60.00
Sites, in units of the cell vectors:
Mo1 0.500 0.500 0.500
Pa1 0.098 0.098 0.706
Pa2 0.902 0.902 0.294
Pm1 0.000 0.000 0.000

Computed properties:
* N(E_F): 7.461 states/eV/f.u.
* ΔE_f: 0.420 eV/atom

=====

Computed, not measured: a geometry-optimized PmPaTcMo structure at the PBE level of DFT.

Lattice parameters (Å, degrees): 4.919 4.919 4.919 60.00 60.00 60.00
Sites, in units of the cell vectors:
Mo1 0.000 0.000 0.000
Pa1 0.250 0.250 0.250
Tc1 0.500 0.500 0.500
Pm1 0.750 0.750 0.750

Computed properties:
* N(E_F): 5.646 states/eV/f.u.
* ΔE_f: 0.228 eV/atom

=====

Computed, not measured: a geometry-optimized PrPa2Mo structure at the PBE level of DFT.

Lattice parameters (Å, degrees): 3.669 3.669 10.190 79.63 79.63 60.00
Sites, in units of the cell vectors:
Pr1 0.000 0.000 0.000
Mo1 0.500 0.500 0.500
Pa1 0.108 0.108 0.675
Pa2 0.892 0.892 0.325

Computed properties:
* ΔE to the lowest computed polymorph: 0.4154 eV/atom
* N(E_F): 7.315 states/eV/f.u.
* ΔE_f: 0.652 eV/atom

=====

Computed, not measured: a geometry-optimized PrPa2Mo structure at the PBE level of DFT.

Lattice parameters (Å, degrees): 3.427 3.427 8.653 90.00 90.00 90.00
Sites, in units of the cell vectors:
Pr1 0.500 0.500 0.500
Mo1 0.500 0.500 0.000
Pa1 0.000 0.000 0.799
Pa2 0.000 0.000 0.201

Computed properties:
* ΔE to the lowest computed polymorph: 0.0000 eV/atom
* N(E_F): 8.482 states/eV/f.u.
* ΔE_f: 0.236 eV/atom

=====

Computed, not measured: a geometry-optimized PrPaMo structure at the PBE level of DFT.

Lattice parameters (Å, degrees): 4.326 4.326 11.793 90.00 90.00 120.00
Last column: magnetic moment on the atom in μB.
Sites, in units of the cell vectors:
Mo1 0.667 0.333 0.162  0.00
Mo2 0.333 0.667 0.838  0.00
Pr1 0.000 0.000 0.329  0.06
Pr2 0.000 0.000 0.671  0.06
Pa1 0.667 0.333 0.897  0.02
Pa2 0.333 0.667 0.103  0.02

Computed properties:
* N(E_F): 3.233 states/eV/f.u.
* ΔE_f: 0.396 eV/atom

=====

Computed, not measured: a geometry-optimized PaMoPt2 structure at the PBE level of DFT.

Lattice parameters (Å, degrees): 4.524 4.524 5.191 64.16 64.16 60.00
Last column: magnetic moment on the atom in μB.
Sites, in units of the cell vectors:
Mo1 0.500 0.500 0.500  0.88
Pa1 0.000 0.000 0.000  -0.04
Pt1 0.783 0.783 0.650  0.07
Pt2 0.217 0.217 0.350  0.07

Computed properties:
* ΔE to the lowest computed polymorph: 0.2931 eV/atom
* N(E_F): 5.795 states/eV/f.u.
* ΔE_f: -0.341 eV/atom

=====

Computed, not measured: a geometry-optimized PaMo2Pt structure at the PBE level of DFT.

Lattice parameters (Å, degrees): 4.604 4.604 4.730 60.88 60.88 60.00
Sites, in units of the cell vectors:
Mo1 0.233 0.233 0.302
Mo2 0.767 0.767 0.698
Pa1 0.500 0.500 0.500
Pt1 0.000 0.000 0.000

Computed properties:
* N(E_F): 7.586 states/eV/f.u.
* ΔE_f: 0.063 eV/atom

=====

Repeat the ninth record exactly.
Computed, not measured: a geometry-optimized PrPa2Mo structure at the PBE level of DFT.

Lattice parameters (Å, degrees): 3.427 3.427 8.653 90.00 90.00 90.00
Sites, in units of the cell vectors:
Pr1 0.500 0.500 0.500
Mo1 0.500 0.500 0.000
Pa1 0.000 0.000 0.799
Pa2 0.000 0.000 0.201

Computed properties:
* ΔE to the lowest computed polymorph: 0.0000 eV/atom
* N(E_F): 8.482 states/eV/f.u.
* ΔE_f: 0.236 eV/atom

=====

Question: N(E_F) of number 10 (PrPaMo)?
Answer: 3.233 states/eV/f.u.

=====

Question: Which formula does entry 5 have?
Answer: PaTiMoPd